No. 1
An optimized crystal structure of Li2LaIr, computed with PBE.

- electronic total energy (eV per atom) = -4.544
- crystal system = cubic
- symmetry = Fm-3m (225)

Unit cell a=4.627 b=4.627 c=4.627 alpha=60.00 beta=60.00 gamma=60.00
Sites, in units of the cell vectors:
Li  0.250  0.250  0.250
Li  0.750  0.750  0.750
La  0.000  0.000  0.000
Ir  0.500  0.500  0.500



No. 2
An optimized crystal structure of Ac3Th2PaN6, computed with PBE.

- electronic total energy (eV per atom) = -8.619
- crystal system = monoclinic
- symmetry = C2/m (12)
- E_form (uncorrected) (eV per formula unit) = -16.812

Unit cell a=6.431 b=6.431 c=6.577 alpha=99.35 beta=99.35 gamma=120.03
Sites, in units of the cell vectors:
Ac  0.000  0.000  0.000
Ac  0.334  0.666  0.000
Ac  0.666  0.334  0.000
Th  0.167  0.833  0.500
Th  0.833  0.167  0.500
Pa  0.500  0.500  0.500
N  0.118  0.433  0.300
N  0.252  0.252  0.703
N  0.433  0.118  0.300
N  0.567  0.882  0.700
N  0.748  0.748  0.297
N  0.882  0.567  0.700



No. 3
An optimized crystal structure of Tl2HPtPb, computed with PBE.

- electronic total energy (eV per atom) = -3.497
- crystal system = tetragonal
- symmetry = P4/mmm (123)

Unit cell a=5.699 b=5.699 c=3.484 alpha=90.00 beta=90.00 gamma=90.00
Sites, in units of the cell vectors:
Tl  0.000  0.500  0.000
Tl  0.500  0.000  0.000
H  0.000  0.000  0.500
Pt  0.000  0.000  0.000
Pb  0.500  0.500  0.500



No. 4
An optimized crystal structure of Pa2PdC, computed with PBE.

- electronic total energy (eV per atom) = -8.544
- crystal system = tetragonal
- symmetry = P4/mmm (123)

Unit cell a=3.044 b=3.044 c=7.401 alpha=90.00 beta=90.00 gamma=90.00
Sites, in units of the cell vectors:
Pa  0.000  0.000  0.203
Pa  0.000  0.000  0.797
Pd  0.500  0.500  0.500
C  0.500  0.500  0.000



No. 5
An optimized crystal structure of TaCr2Cl, computed with PBE.

- electronic total energy (eV per atom) = -7.879
- crystal system = tetragonal
- symmetry = P4/mmm (123)
- E_form (uncorrected) (eV per formula unit) = 1.430

Unit cell a=2.987 b=2.987 c=7.606 alpha=90.00 beta=90.00 gamma=90.00
Sites, in units of the cell vectors:
Ta  0.000  0.000  0.000
Cr  0.500  0.500  0.245
Cr  0.500  0.500  0.755
Cl  0.000  0.000  0.500



No. 6
An optimized crystal structure of MoPb2W, computed with PBE.

- electronic total energy (eV per atom) = -6.700
- crystal system = cubic
- symmetry = Fm-3m (225)

Unit cell a=4.824 b=4.824 c=4.824 alpha=60.00 beta=60.00 gamma=60.00
Sites, in units of the cell vectors:
Mo  0.000  0.000  0.000
Pb  0.250  0.250  0.250
Pb  0.750  0.750  0.750
W  0.500  0.500  0.500